{"formula": "KGeHSe2", "functional": "PBE", "state": "relaxed", "crystal_system": "tetragonal", "m_tot_mub_per_fu": 0.00, "vol_a3_per_cell": 101.5, "n_ef_per_ev_cell": 2.39, "energy_ha_per_atom": -0.114, "lattice": [[4.989, 0.000, 0.000], [0.000, 4.989, 0.000], [0.000, 0.000, 4.079]], "species": ["K", "Ge", "H", "Se", "Se"], "frac_coords": [[0.000, 0.000, 0.000], [0.500, 0.500, 0.000], [0.500, 0.500, 0.500], [0.000, 0.500, 0.500], [0.500, 0.000, 0.500]]}